The following is a PBE-GGA calculation of a geometry-optimized Ba2TbThSe6 structure, from the Alexandria database.

```
data_Ba2TbThSe6
_cell_length_a 7.521
_cell_length_b 8.065
_cell_length_c 13.200
_cell_angle_alpha 90.00
_cell_angle_beta 123.78
_cell_angle_gamma 90.00
_space_group_name_H-M_alt 'P 1'
_space_group_IT_number 1
loop_
_space_group_symop_operation_xyz
'x,y,z'
loop_
_atom_site_label
_atom_site_type_symbol
_atom_site_fract_x
_atom_site_fract_y
_atom_site_fract_z
_atom_site_occupancy
Ba1 Ba 0.220 0.079 0.248 1
Ba2 Ba 0.220 0.421 0.748 1
Ba3 Ba 0.780 0.579 0.252 1
Ba4 Ba 0.780 0.921 0.752 1
Tb1 Tb 0.000 0.000 0.500 1
Tb2 Tb 0.000 0.500 0.000 1
Th1 Th 0.500 0.000 0.000 1
Th2 Th 0.500 0.500 0.500 1
Se1 Se 0.139 0.199 0.949 1
Se2 Se 0.139 0.301 0.449 1
Se3 Se 0.253 0.699 0.947 1
Se4 Se 0.253 0.801 0.447 1
Se5 Se 0.348 0.025 0.747 1
Se6 Se 0.348 0.475 0.247 1
Se7 Se 0.652 0.525 0.753 1
Se8 Se 0.652 0.975 0.253 1
Se9 Se 0.747 0.199 0.553 1
Se10 Se 0.747 0.301 0.053 1
Se11 Se 0.861 0.699 0.551 1
Se12 Se 0.861 0.801 0.051 1
```

Output
Crystal system = monoclinic
Raw total energy = -5.433 eV/atom
Fermi-level density of states = 28.8 states/eV/cell
SG = P2_1/c (14)
ΔE_f (raw) = -1753 meV per atom
Size of the total moment = 0.0 μB/f.u.